{
  "formula": "CsNa2MgHg",
  "functional": "SCAN",
  "state": "PBEsol geometry",
  "energy_ev_per_atom": -23.744,
  "volume_a3_per_cell": 231.55,
  "cell": [[5.884, 0.000, 0.000], [0.000, 5.884, 0.000], [0.000, 0.000, 6.689]],
  "species": ["Cs", "Na", "Na", "Mg", "Hg"],
  "frac_coords": [[0.000, 0.000, 0.000], [0.000, 0.500, 0.500], [0.500, 0.000, 0.500], [0.500, 0.500, 0.000], [0.000, 0.000, 0.500]]
}


{
  "formula": "CaBPt2I",
  "functional": "SCAN",
  "state": "PBEsol geometry",
  "volume_a3_per_cell": 112.97,
  "formation_energy_uncorrected_mev_per_atom": 905,
  "cell": [[5.070, 0.000, 0.000], [0.000, 5.070, 0.000], [0.000, 0.000, 4.395]],
  "species": ["Ca", "B", "Pt", "Pt", "I"],
  "frac_coords": [[0.000, 0.000, 0.000], [0.500, 0.500, 0.000], [0.000, 0.500, 0.500], [0.500, 0.000, 0.500], [0.500, 0.500, 0.500]]
}


{
  "formula": "YMnSe2",
  "functional": "SCAN",
  "state": "PBEsol geometry",
  "volume_a3_per_cell": 83.61,
  "formation_energy_uncorrected_mev_per_atom": -1060,
  "cell": [[-1.931, 1.931, 5.605], [1.931, -1.931, 5.605], [1.931, 1.931, -5.605]],
  "species": ["Y", "Mn", "Se", "Se"],
  "frac_coords": [[0.000, 0.000, 0.000], [0.750, 0.250, 0.500], [0.250, 0.750, 0.500], [0.500, 0.500, 0.000]]
}


Question: What is the formula in the second record?
Answer: CaBPt2I